No. 1
Material: Mn2CdTcPt
Method: DFT, PBEsol
State: optimized geometry

abc: 4.3178 4.3178 5.0190
angles: 90.00 90.00 90.00
Last column: nearest neighbours and their distance in Å.
Element x y z (fractional)
Mn: 0.0000 0.5000 0.0000  2 Tc 2.16
Mn: 0.5000 0.0000 0.0000  2 Tc 2.16
Tc: 0.0000 0.0000 0.0000  4 Mn 2.16
Pt: 0.5000 0.5000 0.5000  4 Cd 3.05, 8 Mn 3.31
Cd: 0.0000 0.0000 0.5000  2 Tc 2.51

Properties
Total energy (eV for the cell shown): -32.1
DFT formation energy (kJ/mol of formula units): 657

---

No. 2
Material: Sc2HgPt
Method: DFT, PBEsol
State: optimized geometry

abc: 3.3237 3.3237 6.8783
angles: 90.00 90.00 90.00
Last column: nearest neighbours and their distance in Å.
Element x y z (fractional)
Sc: 0.0000 0.0000 0.2282  4 Pt 2.83, 4 Hg 3.00, 1 Sc 3.14
Sc: 0.0000 0.0000 0.7718  4 Pt 2.83, 4 Hg 3.00, 1 Sc 3.14
Hg: 0.5000 0.5000 0.5000  8 Sc 3.00, 4 Hg 3.32
Pt: 0.5000 0.5000 0.0000  8 Sc 2.83

Properties
Total energy (eV for the cell shown): -24.3
DFT formation energy (kJ/mol of formula units): -340

---

No. 3
Material: TcMoSe2
Method: DFT, PBEsol
State: optimized geometry

abc: 3.0438 3.1040 7.9417
angles: 90.00 90.00 119.36
Last column: nearest neighbours and their distance in Å.
Element x y z (fractional)
Mo: 0.5000 0.0000 0.0000  4 Se 2.52
Se: 0.0000 0.0000 0.7469  2 Tc 2.48, 2 Mo 2.52
Se: 0.0000 0.0000 0.2531  2 Tc 2.48, 2 Mo 2.52
Tc: 0.5000 0.0000 0.5000  4 Se 2.48

Properties
Excess energy over the best structure of this formula in the dataset (meV/atom): 0
Total energy (eV for the cell shown): -28.6

---

No. 4
Material: TiInCu
Method: DFT, PBEsol
State: optimized geometry

abc: 4.1883 4.1859 5.8427
angles: 69.01 90.00 90.00
Last column: nearest neighbours and their distance in Å.
Element x y z (fractional)
Ti: 0.7500 0.5971 0.8057  4 Cu 2.66-2.69, 4 In 2.96, 2 Ti 2.98
Ti: 0.2500 0.4029 0.1943  4 Cu 2.66-2.69, 4 In 2.96, 2 Ti 2.98
Cu: 0.2500 0.7481 0.5038  4 In 2.65-2.68, 4 Ti 2.66-2.69, 4 Cu 2.96
Cu: 0.7500 0.2519 0.4962  4 In 2.65-2.68, 4 Ti 2.66-2.69, 4 Cu 2.96
In: 0.2500 0.0984 0.8033  4 Cu 2.65-2.68, 4 Ti 2.96
In: 0.7500 0.9016 0.1967  4 Cu 2.65-2.68, 4 Ti 2.96

Properties
Total energy (eV for the cell shown): -32.2
DFT formation energy (kJ/mol of formula units): -44

---

No. 5
Material: MnReAsPd2
Method: DFT, PBEsol
State: optimized geometry

abc: 4.5940 4.8149 4.8149
angles: 90.00 90.00 90.00
Last column: nearest neighbours and their distance in Å.
Element x y z (fractional)
Re: 0.0000 0.0000 0.0000  2 As 2.30, 4 Pd 2.41
As: 0.5000 0.0000 0.0000  2 Re 2.30
Mn: 0.5000 0.5000 0.5000  8 Pd 3.33, 4 As 3.40
Pd: 0.0000 0.0000 0.5000  2 Re 2.41
Pd: 0.0000 0.5000 0.0000  2 Re 2.41

Properties
Total energy (eV for the cell shown): -34.3
DFT formation energy (kJ/mol of formula units): 560

---

No. 6
Material: Ba2SrUO6
Method: DFT, PBEsol
State: optimized geometry

abc: 6.2234 6.2804 8.7995
angles: 90.00 89.75 90.00
Last column: nearest neighbours and their distance in Å.
Element x y z (fractional)
Ba: 0.4902 0.4643 0.7512  6 O 2.66-2.97
Ba: 0.0098 0.9643 0.7488  6 O 2.66-2.97
Ba: 0.9902 0.0357 0.2512  6 O 2.66-2.97
Ba: 0.5098 0.5357 0.2488  6 O 2.66-2.97
Sr: 0.0000 0.5000 0.5000  6 O 2.45-2.48
Sr: 0.5000 0.0000 0.0000  6 O 2.45-2.48
U: 0.0000 0.5000 0.0000  6 O 2.08-2.09
U: 0.5000 0.0000 0.5000  6 O 2.08-2.09
O: 0.0894 0.4685 0.2269  1 U 2.08
O: 0.4106 0.9685 0.2731  1 U 2.08
O: 0.9106 0.5315 0.7731  1 U 2.08
O: 0.5894 0.0315 0.7269  1 U 2.08
O: 0.2351 0.1923 0.5433  1 U 2.08
O: 0.2649 0.6923 0.9567  1 U 2.08
O: 0.7649 0.8077 0.4567  1 U 2.08
O: 0.7351 0.3077 0.0433  1 U 2.08
O: 0.8097 0.7648 0.0539  1 U 2.09
O: 0.6903 0.2648 0.4461  1 U 2.09
O: 0.1903 0.2352 0.9461  1 U 2.09
O: 0.3097 0.7352 0.5539  1 U 2.09

Properties
Total energy (eV for the cell shown): -161.6